# AcPr7Tm3 (PBE, optimized geometry)
# Calculated density in g/cm³: 7.03
# Density of states at the Fermi level in states/eV/f.u.: 16.8
# Calculated volume in Å³/atom: 36.925
# Total energy in eV per atom: -4.434
# DFT formation energy in meV per atom: 201
data_AcPr7Tm3
_space_group_name_H-M_alt 'P 3 m 1'
_space_group_IT_number 156
_cell_length_a 7.3320
_cell_length_b 7.3320
_cell_length_c 8.7245
_cell_angle_alpha 90.00
_cell_angle_beta 90.00
_cell_angle_gamma 120.00
loop_
_space_group_symop_operation_xyz
'x,y,z'
'-y,x-y,z'
'-x+y,-x,z'
'-y,-x,z'
'-x+y,y,z'
'x,x-y,z'
loop_
_atom_site_label
_atom_site_fract_x
_atom_site_fract_y
_atom_site_fract_z
Ac1 0.0000 0.0000 0.0000
Pr1 0.0007 0.5004 0.9772
Pr2 0.1682 0.3364 0.3394
Pr3 0.6667 0.3333 0.3151
Tm1 0.3367 0.1683 0.6546